Material: MgSnAu
Method: DFT, meta-GGA SCAN
State: PBEsol geometry

a = 4.537 Å, b = 4.537 Å, c = 4.537 Å
α = 60.00°, β = 60.00°, γ = 60.00°
Atoms (fractional coordinates):
Mg  0.000  0.000  0.000
Au  0.250  0.250  0.250
Sn  0.500  0.500  0.500

Results
Formation energy in eV per atom: -0.63
Total moment in Bohr magnetons per cell: 0.0
Symmetry: F-43m

---

Material: SrMgAu3
Method: DFT, meta-GGA SCAN
State: PBEsol geometry

a = 4.980 Å, b = 4.980 Å, c = 4.980 Å
α = 90.00°, β = 90.00°, γ = 90.00°
Atoms (fractional coordinates):
Mg  0.000  0.000  0.000
Au  0.000  0.500  0.000
Sr  0.500  0.500  0.500
Au  0.000  0.000  0.500
Au  0.500  0.000  0.000

Results
Formation energy in eV per atom: -0.48
Total moment in Bohr magnetons per cell: 0.0
Symmetry: Pm-3m